## CsBeNb (PBE)

Data for CsBeNb after structural relaxation.

The structure in CIF format:
```
data_CsBeNb
_cell_length_a 4.0753
_cell_length_b 4.0753
_cell_length_c 6.4871
_cell_angle_alpha 90.00
_cell_angle_beta 90.00
_cell_angle_gamma 120.00
_space_group_name_H-M_alt 'P 1'
_space_group_IT_number 1
loop_
_space_group_symop_operation_xyz
'x,y,z'
loop_
_atom_site_label
_atom_site_fract_x
_atom_site_fract_y
_atom_site_fract_z
Cs1 0.0000 0.0000 0.5000
Be1 0.3333 0.6667 0.0000
Nb1 0.6667 0.3333 0.0000
```

Values from the calculation:
SG = P-6m2 (187)
Relative energy among the computed polymorphs = 1024 meV per atom
Total moment = 0.4402 μB/atom
Calculated density = 4.18 g/cm3